Arrangement i

Material: Ta2V3Ge
Method: DFT, PBE-GGA
State: optimized geometry

As for the density of states at the Fermi level: 7.572 states/eV/f.u. The volume comes out at 15.122 Å³/atom.

The space group is P6_3/mmc (No. 194) and the conventional cell measures 4.9871, 4.9871 and 8.4245 Å, with angles of 90.00, 90.00 and 120.00 degrees. The inequivalent atoms are Ta at (0.3333, 0.6667, 0.0622), V at (0.1727, 0.3454, 0.7500) and Ge at (0.0000, 0.0000, 0.0000).



Arrangement ii

Material: Ta2V3Ge
Method: DFT, PBE-GGA
State: optimized geometry

As for the density of states at the Fermi level: 6.692 states/eV/f.u. The volume comes out at 15.143 Å³/atom.

The space group is C2/m (No. 12) and the conventional cell measures 8.600, 4.982 and 5.123 Å, with angles of 90.00, 124.12 and 90.00 degrees. The inequivalent atoms are Ta at (0.125, 0.000, 0.375), V at (0.000, 0.500, 0.000), V at (0.250, 0.250, 0.000) and Ge at (0.000, 0.500, 0.500).



Most stable to least stable, the ends of the list are arrangement i and arrangement ii.